Below is a relaxed HfTiCS crystal, with properties calculated at the PBE-GGA level.

Output
- Calculated volume: 54.9 Å³ per cell
- SG: No. 160
- Formation energy (no corrections): -1.2534 eV/atom

abc: 6.1938 6.1938 6.1938
angles: 30.70 30.70 30.70
Atoms (fractional coordinates):
1 Hf 0.0000 0.0000 0.0000
2 Ti 0.8002 0.8002 0.8002
3 C 0.4072 0.4072 0.4072
4 S 0.2297 0.2297 0.2297